(1)
VASP calculation (PBE-GGA) on a relaxed structure of Al2HN.

a = 3.8556 Å, b = 3.8556 Å, c = 3.8556 Å
α = 60.00°, β = 60.00°, γ = 60.00°
Last column: nearest neighbours and their distance in Å.
Fractional positions:
N 0.5000 0.5000 0.5000  8 Al 2.36
Al 0.7500 0.7500 0.7500  4 N 2.36, 4 H 2.36
Al 0.2500 0.2500 0.2500  4 N 2.36, 4 H 2.36
H 0.0000 0.0000 0.0000  8 Al 2.36

Values from the calculation:
Total DFT energy (no corrections) ... -4.259 eV/atom



(2)
VASP calculation (PBE-GGA) on a relaxed structure of NaAl4Sn.

a = 5.5955 Å, b = 5.5955 Å, c = 5.5955 Å
α = 60.00°, β = 60.00°, γ = 60.00°
Last column: nearest neighbours and their distance in Å.
Fractional positions:
Al 0.6242 0.1273 0.6242  6 Al 2.78-2.81
Al 0.6242 0.6242 0.6242  6 Al 2.78-2.81
Al 0.1273 0.6242 0.6242  6 Al 2.78-2.81
Al 0.6242 0.6242 0.1273  6 Al 2.78-2.81
Sn 0.0000 0.0000 0.0000  12 Al 3.28, 4 Na 3.43
Na 0.2500 0.2500 0.2500  12 Al 3.28, 4 Sn 3.43

Values from the calculation:
Total DFT energy (no corrections) ... -3.290 eV/atom
DFT formation energy ... 0.0918 eV per atom